Record 1
Entry from Alexandria via LeMat-Bulk: a relaxed BaIn2Hg crystal (PBE).

a = 4.999 Å, b = 4.124 Å, c = 6.557 Å
α = 76.97°, β = 90.00°, γ = 90.00°
Sites, in units of the cell vectors:
In  0.000  0.924  0.949
In  0.000  0.576  0.551
Hg  0.500  0.750  0.750
Ba  0.500  0.250  0.250

## Properties
Calculated total energy = -0.1615 Ry/atom
Theoretical density = 7.2 Mg/m³
ΔH_f (0 K) = -272 meV/atom
Magnetization = 0.00 μB/cell

Record 2
Entry from Alexandria via LeMat-Bulk: a relaxed Ba2InHg16 crystal (PBE).

a = 8.284 Å, b = 8.284 Å, c = 8.284 Å
α = 78.33°, β = 78.33°, γ = 78.33°
Sites, in units of the cell vectors:
Hg  0.300  0.699  0.002
Hg  0.002  0.300  0.699
Hg  0.558  0.952  0.952
Hg  0.115  0.115  0.115
Hg  0.300  0.002  0.699
Hg  0.952  0.952  0.558
Hg  0.952  0.558  0.952
Hg  0.345  0.345  0.889
Hg  0.699  0.300  0.002
Hg  0.699  0.002  0.300
Hg  0.611  0.611  0.212
Hg  0.345  0.889  0.345
Hg  0.002  0.699  0.300
Hg  0.889  0.345  0.345
Hg  0.212  0.611  0.611
Hg  0.611  0.212  0.611
In  0.932  0.932  0.932
Ba  0.326  0.326  0.326
Ba  0.648  0.648  0.648

## Properties
Calculated total energy = -0.0584 Ry/atom
Theoretical density = 11.1 Mg/m³
ΔH_f (0 K) = -194 meV/atom
Magnetization = 0.00 μB/cell

Record 3
Entry from Alexandria via LeMat-Bulk: a relaxed BaInHg crystal (PBE).

a = 5.212 Å, b = 6.571 Å, c = 6.823 Å
α = 78.83°, β = 67.55°, γ = 66.64°
Sites, in units of the cell vectors:
In  0.840  0.220  0.100
In  0.160  0.780  0.900
Ba  0.458  0.780  0.304
Ba  0.542  0.220  0.696
Hg  0.170  0.382  0.277
Hg  0.830  0.618  0.723

## Properties
Calculated total energy = -0.1569 Ry/atom
Theoretical density = 7.6 Mg/m³
ΔH_f (0 K) = -480 meV/atom
Magnetization = 0.00 μB/cell

Record 4
Entry from Alexandria via LeMat-Bulk: a relaxed Ba3In7Hg4 crystal (PBE).

a = 5.054 Å, b = 9.588 Å, c = 9.639 Å
α = 71.82°, β = 74.80°, γ = 74.72°
Sites, in units of the cell vectors:
In  0.340  0.798  0.522
In  0.851  0.376  0.922
In  0.149  0.624  0.078
In  0.504  0.801  0.192
In  0.000  0.000  0.000
In  0.496  0.199  0.808
In  0.660  0.202  0.478
Ba  0.695  0.810  0.800
Ba  0.000  0.500  0.500
Ba  0.305  0.190  0.200
Hg  0.341  0.532  0.785
Hg  0.142  0.085  0.632
Hg  0.858  0.915  0.368
Hg  0.659  0.468  0.215

## Properties
Calculated total energy = -0.1640 Ry/atom
Theoretical density = 8.0 Mg/m³
ΔH_f (0 K) = -364 meV/atom
Magnetization = 0.00 μB/cell

Record 5
Entry from Alexandria via LeMat-Bulk: a relaxed Ba3In2Hg7 crystal (PBE).

a = 4.656 Å, b = 5.270 Å, c = 16.080 Å
α = 99.43°, β = 90.00°, γ = 90.00°
Sites, in units of the cell vectors:
Hg  0.500  0.075  0.151
Hg  0.000  0.000  0.000
Hg  0.000  0.772  0.545
Hg  0.000  0.587  0.174
Hg  0.000  0.413  0.826
Hg  0.500  0.925  0.849
Hg  0.000  0.228  0.455
In  0.000  0.135  0.270
In  0.000  0.865  0.730
Ba  0.500  0.320  0.639
Ba  0.500  0.500  0.000
Ba  0.500  0.680  0.361

## Properties
Calculated total energy = -0.1075 Ry/atom
Theoretical density = 8.7 Mg/m³
ΔH_f (0 K) = -349 meV/atom
Magnetization = 0.00 μB/cell

Record 6
Entry from Alexandria via LeMat-Bulk: a relaxed Ba3In2Hg2 crystal (PBE).

a = 4.604 Å, b = 4.321 Å, c = 13.295 Å
α = 90.00°, β = 80.03°, γ = 90.00°
Sites, in units of the cell vectors:
Ba  0.842  0.000  0.315
Ba  0.000  0.000  0.000
Ba  0.158  0.000  0.685
Hg  0.285  0.500  0.429
Hg  0.715  0.500  0.571
In  0.421  0.500  0.159
In  0.579  0.500  0.841

## Properties
Calculated total energy = -0.1550 Ry/atom
Theoretical density = 6.6 Mg/m³
ΔH_f (0 K) = -416 meV/atom
Magnetization = 0.00 μB/cell

Record 7
Entry from Alexandria via LeMat-Bulk: a relaxed Ba3InHg crystal (PBE).

a = 10.549 Å, b = 9.289 Å, c = 9.289 Å
α = 84.72°, β = 84.34°, γ = 84.34°
Sites, in units of the cell vectors:
In  0.250  0.361  0.639
In  0.750  0.639  0.361
In  0.250  0.859  0.141
In  0.750  0.141  0.859
Ba  0.176  0.578  0.951
Ba  0.910  0.943  0.179
Ba  0.824  0.422  0.049
Ba  0.676  0.951  0.578
Ba  0.090  0.057  0.821
Ba  0.077  0.695  0.507
Ba  0.923  0.305  0.493
Ba  0.410  0.179  0.943
Ba  0.423  0.493  0.305
Ba  0.590  0.821  0.057
Ba  0.577  0.507  0.695
Ba  0.324  0.049  0.422
Hg  0.119  0.232  0.159
Hg  0.381  0.841  0.768
Hg  0.619  0.159  0.232
Hg  0.881  0.768  0.841

## Properties
Calculated total energy = -0.1522 Ry/atom
Theoretical density = 5.4 Mg/m³
ΔH_f (0 K) = -310 meV/atom
Magnetization = 0.00 μB/cell

Record 8
Entry from Alexandria via LeMat-Bulk: a relaxed BaInHg2 crystal (PBE).

a = 4.340 Å, b = 4.002 Å, c = 7.799 Å
α = 69.14°, β = 90.00°, γ = 90.00°
Sites, in units of the cell vectors:
In  0.500  0.250  0.250
Hg  0.000  0.038  0.031
Hg  0.000  0.462  0.469
Ba  0.500  0.750  0.750

## Properties
Calculated total energy = -0.1205 Ry/atom
Theoretical density = 8.6 Mg/m³
ΔH_f (0 K) = -323 meV/atom
Magnetization = 0.00 μB/cell

Record 9
Entry from Alexandria via LeMat-Bulk: a relaxed BaIn3Hg3 crystal (PBE).

a = 7.977 Å, b = 7.977 Å, c = 7.977 Å
α = 90.00°, β = 90.00°, γ = 90.00°
Sites, in units of the cell vectors:
Hg  0.250  0.000  0.500
Hg  0.500  0.750  0.000
Hg  0.000  0.500  0.250
Hg  0.500  0.250  0.000
Hg  0.750  0.000  0.500
Hg  0.000  0.500  0.750
In  0.000  0.250  0.500
In  0.250  0.500  0.000
In  0.500  0.000  0.750
In  0.000  0.750  0.500
In  0.750  0.500  0.000
In  0.500  0.000  0.250
Ba  0.500  0.500  0.500
Ba  0.000  0.000  0.000

## Properties
Calculated total energy = -0.1197 Ry/atom
Theoretical density = 7.1 Mg/m³
ΔH_f (0 K) = -51 meV/atom
Magnetization = 0.00 μB/cell

Record 10
Entry from Alexandria via LeMat-Bulk: a relaxed Ba8In2Hg3 crystal (PBE).

a = 5.972 Å, b = 10.358 Å, c = 10.358 Å
α = 70.43°, β = 90.04°, γ = 90.04°
Sites, in units of the cell vectors:
Ba  0.000  0.373  0.373
Ba  0.500  0.122  0.628
Ba  0.500  0.878  0.372
Ba  0.000  0.877  0.877
Ba  0.500  0.372  0.878
Ba  0.500  0.628  0.122
Ba  0.000  0.123  0.123
Ba  0.000  0.627  0.627
Hg  0.000  0.255  0.745
Hg  0.500  0.000  0.000
Hg  0.000  0.745  0.255
In  0.500  0.750  0.750
In  0.500  0.250  0.250

## Properties
Calculated total energy = -0.1475 Ry/atom
Theoretical density = 5.3 Mg/m³
ΔH_f (0 K) = -333 meV/atom
Magnetization = 0.00 μB/cell

Record 11
Entry from Alexandria via LeMat-Bulk: a relaxed BaIn2Hg crystal (PBE).

a = 5.561 Å, b = 5.558 Å, c = 5.600 Å
α = 119.60°, β = 119.80°, γ = 89.77°
Sites, in units of the cell vectors:
In  0.000  0.001  0.000
In  0.751  0.248  0.500
Ba  0.500  0.500  0.000
Hg  0.249  0.752  0.500

## Properties
Calculated total energy = -0.1666 Ry/atom
Theoretical density = 7.6 Mg/m³
ΔH_f (0 K) = -341 meV/atom
Magnetization = 0.00 μB/cell

Record 12
Entry from Alexandria via LeMat-Bulk: a relaxed BaIn2Hg crystal (PBE).

a = 6.520 Å, b = 6.520 Å, c = 6.520 Å
α = 142.62°, β = 129.06°, γ = 64.86°
Sites, in units of the cell vectors:
Ba  0.750  0.250  0.500
In  0.027  0.027  0.000
In  0.473  0.473  0.000
Hg  0.250  0.750  0.500

## Properties
Calculated total energy = -0.1593 Ry/atom
Theoretical density = 7.3 Mg/m³
ΔH_f (0 K) = -242 meV/atom
Magnetization = 0.00 μB/cell

Record 13
Entry from Alexandria via LeMat-Bulk: a relaxed BaInHg14 crystal (PBE).

a = 12.036 Å, b = 10.859 Å, c = 10.859 Å
α = 80.78°, β = 56.34°, γ = 56.34°
Sites, in units of the cell vectors:
Hg  0.098  0.136  0.669
Hg  0.374  0.642  0.609
Hg  0.062  0.270  0.943
Hg  0.725  0.270  0.943
Hg  0.598  0.169  0.636
Hg  0.438  0.557  0.230
Hg  0.626  0.358  0.391
Hg  0.874  0.109  0.142
Hg  0.869  0.327  0.441
Hg  0.902  0.864  0.331
Hg  0.113  0.329  0.444
Hg  0.275  0.730  0.057
Hg  0.887  0.671  0.556
Hg  0.225  0.443  0.770
Hg  0.131  0.673  0.559
Hg  0.775  0.557  0.230
Hg  0.363  0.327  0.441
Hg  0.863  0.941  0.827
Hg  0.387  0.056  0.171
Hg  0.613  0.944  0.829
Hg  0.637  0.673  0.559
Hg  0.562  0.443  0.770
Hg  0.938  0.730  0.057
Hg  0.631  0.059  0.173
Hg  0.369  0.941  0.827
Hg  0.137  0.059  0.173
Hg  0.126  0.891  0.858
Hg  0.402  0.831  0.364
In  0.000  0.000  0.500
In  0.500  0.000  0.500
Ba  0.250  0.414  0.086
Ba  0.750  0.586  0.914

## Properties
Calculated total energy = -0.0461 Ry/atom
Theoretical density = 10.6 Mg/m³
ΔH_f (0 K) = -72 meV/atom
Magnetization = 0.00 μB/cell

Record 14
Entry from Alexandria via LeMat-Bulk: a relaxed BaIn3Hg crystal (PBE).

a = 5.671 Å, b = 5.671 Å, c = 5.671 Å
α = 90.00°, β = 90.00°, γ = 90.00°
Sites, in units of the cell vectors:
In  0.000  0.000  0.500
In  0.000  0.500  0.000
In  0.500  0.000  0.000
Hg  0.000  0.000  0.000
Ba  0.500  0.500  0.500

## Properties
Calculated total energy = -0.1533 Ry/atom
Theoretical density = 6.2 Mg/m³
ΔH_f (0 K) = 2 meV/atom
Magnetization = 0.00 μB/cell

Record 15
Entry from Alexandria via LeMat-Bulk: a relaxed Ba4InHg3 crystal (PBE).

a = 5.997 Å, b = 5.997 Å, c = 9.428 Å
α = 108.61°, β = 108.55°, γ = 90.00°
Sites, in units of the cell vectors:
Ba  0.626  0.626  0.251
Ba  0.874  0.874  0.749
Ba  0.126  0.126  0.251
Ba  0.374  0.374  0.749
In  0.500  0.000  0.000
Hg  0.000  0.500  0.000
Hg  0.748  0.248  0.496
Hg  0.252  0.752  0.504

## Properties
Calculated total energy = -0.1408 Ry/atom
Theoretical density = 6.9 Mg/m³
ΔH_f (0 K) = -499 meV/atom
Magnetization = 0.00 μB/cell

Record 16
Entry from Alexandria via LeMat-Bulk: a relaxed Ba3InHg crystal (PBE).

a = 6.500 Å, b = 6.500 Å, c = 6.500 Å
α = 90.00°, β = 90.00°, γ = 90.00°
Each line ends with the local moment (μB).
Sites, in units of the cell vectors:
In  0.500  0.500  0.500  0.21
Ba  0.000  0.000  0.500  0.05
Ba  0.000  0.500  0.000  0.10
Ba  0.500  0.000  0.000  0.11
Hg  0.000  0.000  0.000  0.04

## Properties
Calculated total energy = -0.1328 Ry/atom
Theoretical density = 4.4 Mg/m³
ΔH_f (0 K) = -45 meV/atom
Magnetization = 2.01 μB/cell

Record 17
Entry from Alexandria via LeMat-Bulk: a relaxed Ba4In3Hg crystal (PBE).

a = 5.997 Å, b = 8.622 Å, c = 11.997 Å
α = 90.00°, β = 90.00°, γ = 90.00°
Sites, in units of the cell vectors:
Hg  0.000  0.500  0.500
Hg  0.000  0.500  0.000
Ba  0.500  0.253  0.000
Ba  0.500  0.253  0.500
Ba  0.001  0.747  0.250
Ba  0.999  0.253  0.750
Ba  0.999  0.747  0.750
Ba  0.001  0.253  0.250
Ba  0.500  0.747  0.500
Ba  0.500  0.747  0.000
In  0.000  0.000  0.000
In  0.501  0.000  0.250
In  0.501  0.500  0.250
In  0.499  0.000  0.750
In  0.000  0.000  0.500
In  0.499  0.500  0.750

## Properties
Calculated total energy = -0.1805 Ry/atom
Theoretical density = 5.9 Mg/m³
ΔH_f (0 K) = -430 meV/atom
Magnetization = 0.00 μB/cell

Record 18
Entry from Alexandria via LeMat-Bulk: a relaxed Ba2In17Hg3 crystal (PBE).

a = 8.858 Å, b = 8.858 Å, c = 8.858 Å
α = 81.98°, β = 81.98°, γ = 81.98°
Sites, in units of the cell vectors:
In  0.333  0.820  0.333
In  0.876  0.876  0.876
In  0.000  0.254  0.746
In  0.124  0.124  0.124
In  0.667  0.667  0.180
In  0.000  0.000  0.500
In  0.500  0.000  0.000
In  0.000  0.500  0.000
In  0.667  0.180  0.667
In  0.254  0.000  0.746
In  0.746  0.000  0.254
In  0.254  0.746  0.000
In  0.333  0.333  0.820
In  0.820  0.333  0.333
In  0.746  0.254  0.000
In  0.000  0.746  0.254
In  0.180  0.667  0.667
Ba  0.641  0.641  0.641
Ba  0.359  0.359  0.359
Hg  0.500  0.500  0.000
Hg  0.000  0.500  0.500
Hg  0.500  0.000  0.500

## Properties
Calculated total energy = -0.1757 Ry/atom
Theoretical density = 6.9 Mg/m³
ΔH_f (0 K) = -58 meV/atom
Magnetization = 0.00 μB/cell

Record 19
Entry from Alexandria via LeMat-Bulk: a relaxed BaIn3Hg6 crystal (PBE).

a = 7.786 Å, b = 9.262 Å, c = 9.203 Å
α = 118.87°, β = 90.00°, γ = 90.00°
Sites, in units of the cell vectors:
Hg  0.568  0.818  0.926
Hg  0.723  0.876  0.634
Hg  0.095  0.283  0.830
Hg  0.777  0.376  0.134
Hg  0.905  0.717  0.170
Hg  0.432  0.182  0.074
Hg  0.223  0.624  0.866
Hg  0.405  0.783  0.330
Hg  0.932  0.318  0.426
Hg  0.068  0.682  0.574
Hg  0.277  0.124  0.366
Hg  0.595  0.217  0.670
Ba  0.500  0.500  0.500
Ba  0.000  0.000  0.000
In  0.343  0.972  0.705
In  0.500  0.500  0.000
In  0.657  0.028  0.295
In  0.843  0.528  0.795
In  0.000  0.000  0.500
In  0.157  0.472  0.205

## Properties
Calculated total energy = -0.0993 Ry/atom
Theoretical density = 9.6 Mg/m³
ΔH_f (0 K) = -157 meV/atom
Magnetization = 0.00 μB/cell

Record 20
Entry from Alexandria via LeMat-Bulk: a relaxed BaInHg2 crystal (PBE).

a = 5.389 Å, b = 5.389 Å, c = 10.830 Å
α = 75.59°, β = 75.59°, γ = 90.00°
Sites, in units of the cell vectors:
Hg  0.375  0.487  0.750
Hg  0.875  0.763  0.750
Hg  0.237  0.625  0.250
Hg  0.513  0.125  0.250
In  0.250  0.750  0.500
In  0.500  0.500  0.000
Ba  0.750  0.250  0.500
Ba  0.000  0.000  0.000

## Properties
Calculated total energy = -0.1141 Ry/atom
Theoretical density = 7.4 Mg/m³
ΔH_f (0 K) = -236 meV/atom
Magnetization = 0.00 μB/cell